# PBEsol Hf3N4, relaxed
data_Hf3N4
_chemical_formula_sum 'Hf6 N8'
_cell_length_a 5.742
_cell_length_b 5.742
_cell_length_c 5.742
_cell_angle_alpha 109.47
_cell_angle_beta 109.47
_cell_angle_gamma 109.47
_symmetry_space_group_name_H-M 'P 1'
_symmetry_Int_Tables_number 1
loop_
_symmetry_equiv_pos_as_xyz
'x,y,z'
loop_
_atom_site_label
_atom_site_fract_x
_atom_site_fract_y
_atom_site_fract_z
N1 0.000 0.500 0.640
N2 0.000 0.500 0.140
N3 0.640 0.000 0.000
N4 0.360 0.360 0.860
N5 0.140 0.000 0.000
N6 0.860 0.860 0.360
N7 0.500 0.140 0.500
N8 0.500 0.640 0.500
Hf1 0.250 0.875 0.625
Hf2 0.875 0.125 0.750
Hf3 0.375 0.750 0.125
Hf4 0.125 0.250 0.375
Hf5 0.750 0.625 0.875
Hf6 0.625 0.375 0.250
# Energy above the lowest structure with this stoichiometry = 18.8 meV/atom

# PBEsol Hf3N4, relaxed
data_Hf3N4
_chemical_formula_sum 'Hf12 N16'
_cell_length_a 3.216
_cell_length_b 9.654
_cell_length_c 10.633
_cell_angle_alpha 90.00
_cell_angle_beta 90.00
_cell_angle_gamma 90.00
_symmetry_space_group_name_H-M 'P 1'
_symmetry_Int_Tables_number 1
loop_
_symmetry_equiv_pos_as_xyz
'x,y,z'
loop_
_atom_site_label
_atom_site_fract_x
_atom_site_fract_y
_atom_site_fract_z
N1 0.250 0.643 0.518
N2 0.250 0.737 0.787
N3 0.250 0.493 0.275
N4 0.750 0.357 0.482
N5 0.750 0.007 0.775
N6 0.750 0.857 0.018
N7 0.250 0.993 0.225
N8 0.250 0.603 0.030
N9 0.750 0.263 0.213
N10 0.750 0.397 0.970
N11 0.250 0.143 0.982
N12 0.750 0.897 0.530
N13 0.250 0.103 0.470
N14 0.750 0.507 0.725
N15 0.750 0.763 0.287
N16 0.250 0.237 0.713
Hf1 0.250 0.892 0.407
Hf2 0.750 0.108 0.593
Hf3 0.750 0.069 0.123
Hf4 0.250 0.931 0.877
Hf5 0.250 0.431 0.623
Hf6 0.750 0.229 0.852
Hf7 0.750 0.729 0.648
Hf8 0.250 0.771 0.148
Hf9 0.750 0.569 0.377
Hf10 0.250 0.392 0.093
Hf11 0.750 0.608 0.907
Hf12 0.250 0.271 0.352
# Energy above the lowest structure with this stoichiometry = 0.0 meV/atom

A relaxed Hf3N2 crystal. Source: Alexandria, functional PBEsol.

Geometry as CIF:
```
data_Hf3N2
_chemical_formula_sum 'Hf3 N2'
_cell_length_a 3.187
_cell_length_b 3.187
_cell_length_c 7.913
_cell_angle_alpha 78.38
_cell_angle_beta 78.38
_cell_angle_gamma 60.00
_symmetry_space_group_name_H-M 'P 1'
_symmetry_Int_Tables_number 1
loop_
_symmetry_equiv_pos_as_xyz
'x,y,z'
loop_
_atom_site_label
_atom_site_fract_x
_atom_site_fract_y
_atom_site_fract_z
Hf1 0.779 0.779 0.663
Hf2 0.221 0.221 0.337
Hf3 0.000 0.000 0.000
N1 0.389 0.389 0.834
N2 0.611 0.611 0.166
```

Record-wise formation energy from raw total energies values, in eV per atom: -1.824 -1.842 -1.652
Record-wise calculated total energy values, in eV per cell: -156.762 -314.051 -56.821